Computed, not measured: an optimized crystal structure of Cs2Ga2Sn at the PBE level of DFT.

```
data_Cs2Ga2Sn
_cell_length_a 4.7273
_cell_length_b 11.8351
_cell_length_c 4.7277
_cell_angle_alpha 90.06
_cell_angle_beta 120.00
_cell_angle_gamma 90.00
_symmetry_space_group_name_H-M 'P 1'
_symmetry_Int_Tables_number 1
_symmetry_space_group_name_Hall 'P 1'
loop_
_atom_site_label
_atom_site_type_symbol
_atom_site_fract_x
_atom_site_fract_y
_atom_site_fract_z
_atom_site_occupancy
Ga1 Ga 0.6668 0.0919 0.3336 1
Ga2 Ga 0.3332 0.9081 0.6664 1
Cs1 Cs 0.3338 0.2854 0.6676 1
Cs2 Cs 0.6662 0.7146 0.3324 1
Sn1 Sn 0.0000 0.0000 0.0000 1
```

As for the formation energy: -39.1 kJ/mol of formula units. The relative energy among the computed polymorphs is 0 meV/atom.